Record 1
Compound: Pm6Dy2Ho3Pu
Source: the Alexandria database
Functional: PBE
Structure: relaxed

electronic total energy: -5.436 eV/atom
crystal system: monoclinic
total magnetization: 0.55 μB per atom

Unit cell a=6.2182 b=10.7746 c=11.7773 alpha=90.00 beta=100.15 gamma=90.00
Closest atoms and distances in Å follow each position.
Space group C2/m (No. 12)
Unique sites:
Pm 0.2472 0.0000 0.2514 x4  1 Pu 3.54, 6 Pm 3.55-3.61, 2 Dy 3.56, 3 Ho 3.57-3.59
Pm 0.2478 0.1650 0.7488 x8  1 Pu 3.54, 6 Pm 3.55-3.61, 2 Dy 3.56, 3 Ho 3.57-3.59
Dy 0.0000 0.3334 0.5000 x4  6 Pm 3.56, 3 Dy 3.59, 3 Pu 3.59
Ho 0.0000 0.1667 0.0000 x4  6 Pm 3.57-3.59, 6 Ho 3.59
Ho 0.0000 0.5000 0.0000 x2  6 Pm 3.57-3.59, 6 Ho 3.59
Pu 0.0000 0.0000 0.5000 x2  6 Pm 3.54, 6 Dy 3.59

***

Record 2
Compound: PmDyHoPu
Source: the Alexandria database
Functional: PBE
Structure: relaxed

electronic total energy: -6.861 eV/atom
crystal system: cubic
total magnetization: 1.86 μB per atom

Unit cell a=7.9389 b=7.9389 c=7.9389 alpha=90.00 beta=90.00 gamma=90.00
Closest atoms and distances in Å follow each position.
Space group F-43m (No. 216)
Unique sites:
Pm 0.0000 0.0000 0.0000 x4  4 Pu 3.44, 4 Ho 3.44
Dy 0.0000 0.0000 0.5000 x4  4 Ho 3.44, 4 Pu 3.44
Ho 0.2500 0.2500 0.7500 x4  4 Dy 3.44, 4 Pm 3.44
Pu 0.2500 0.2500 0.2500 x4  4 Dy 3.44, 4 Pm 3.44

***

Record 3
Compound: Pm3Dy2Ho6Pu
Source: the Alexandria database
Functional: PBE
Structure: relaxed

electronic total energy: -5.396 eV/atom
crystal system: monoclinic
total magnetization: 0.54 μB per atom

Unit cell a=6.1498 b=10.6552 c=11.6955 alpha=90.00 beta=100.11 gamma=90.00
Closest atoms and distances in Å follow each position.
Space group C2/m (No. 12)
Unique sites:
Pm 0.0000 0.0000 0.0000 x2  6 Pm 3.55, 6 Ho 3.57-3.59
Pm 0.0000 0.3328 0.0000 x4  6 Pm 3.55-3.56, 6 Ho 3.57-3.59
Dy 0.0000 0.1666 0.5000 x4  6 Ho 3.50, 3 Dy 3.55, 3 Pu 3.55
Ho 0.2466 0.3354 0.7454 x8  1 Pu 3.48, 2 Dy 3.50, 6 Ho 3.51-3.57, 3 Pm 3.57-3.59
Ho 0.2472 0.5000 0.2545 x4  1 Pu 3.48, 2 Dy 3.50, 6 Ho 3.51-3.57, 3 Pm 3.57-3.59
Pu 0.0000 0.5000 0.5000 x2  6 Ho 3.48, 6 Dy 3.55

***

Record 4
Compound: Pm3DyHo2S6
Source: the Alexandria database
Functional: PBE
Structure: relaxed

electronic total energy: -6.412 eV/atom
crystal system: monoclinic
total magnetization: 0.00 μB per atom
raw formation energy: -2.01 eV/atom

Unit cell a=6.8180 b=11.8517 c=6.9170 alpha=90.00 beta=109.24 gamma=90.00
Closest atoms and distances in Å follow each position.
Space group C2/m (No. 12)
Unique sites:
Pm 0.0000 0.0000 0.0000 x2  6 S 2.85-2.86
Pm 0.0000 0.3339 0.0000 x4  6 S 2.85-2.86
Dy 0.0000 0.5000 0.5000 x2  6 S 2.76
Ho 0.0000 0.1666 0.5000 x4  6 S 2.75
S 0.2441 0.0000 0.7362 x4  2 Ho 2.75, 1 Dy 2.76, 3 Pm 2.85-2.86
S 0.2460 0.3327 0.7365 x8  2 Ho 2.75, 1 Dy 2.76, 3 Pm 2.85-2.86

***

Record 5
Compound: Pm3Dy2HoS6
Source: the Alexandria database
Functional: PBE
Structure: relaxed

electronic total energy: -6.417 eV/atom
crystal system: monoclinic
total magnetization: 0.00 μB per atom
raw formation energy: -2.02 eV/atom

Unit cell a=6.8274 b=11.8687 c=6.9160 alpha=90.00 beta=109.27 gamma=90.00
Closest atoms and distances in Å follow each position.
Space group C2/m (No. 12)
Unique sites:
Pm 0.0000 0.0000 0.0000 x2  6 S 2.85-2.86
Pm 0.0000 0.3327 0.0000 x4  6 S 2.85-2.86
Dy 0.0000 0.1667 0.5000 x4  6 S 2.76
Ho 0.0000 0.5000 0.5000 x2  6 S 2.75
S 0.2449 0.3340 0.7369 x8  1 Ho 2.75, 2 Dy 2.76, 3 Pm 2.85-2.86
S 0.2470 0.0000 0.7375 x4  1 Ho 2.75, 2 Dy 2.76, 3 Pm 2.86

***

Record 6
Compound: PmDy2Ho3S6
Source: the Alexandria database
Functional: PBE
Structure: relaxed

electronic total energy: -6.364 eV/atom
crystal system: monoclinic
total magnetization: 0.00 μB per atom
raw formation energy: -1.99 eV/atom

Unit cell a=6.7648 b=11.7627 c=6.7880 alpha=90.00 beta=109.45 gamma=90.00
Closest atoms and distances in Å follow each position.
Space group C2/m (No. 12)
Unique sites:
Pm 0.0000 0.0000 0.0000 x2  6 S 2.82-2.83
Dy 0.0000 0.3339 0.0000 x4  6 S 2.76-2.78
Ho 0.0000 0.1633 0.5000 x4  6 S 2.73-2.76
Ho 0.0000 0.5000 0.5000 x2  6 S 2.71-2.77
S 0.2442 0.3297 0.7433 x8  3 Ho 2.73-2.77, 2 Dy 2.77-2.78, 1 Pm 2.83
S 0.2444 0.5000 0.2543 x4  3 Ho 2.71-2.75, 2 Dy 2.76, 1 Pm 2.82

***

Record 7
Compound: Pm3Dy4HoS8
Source: the Alexandria database
Functional: PBE
Structure: relaxed

electronic total energy: -6.392 eV/atom
crystal system: trigonal
total magnetization: 0.00 μB per atom
raw formation energy: -2.00 eV/atom

Unit cell a=7.8918 b=7.8918 c=19.4307 alpha=90.00 beta=90.00 gamma=120.00
Closest atoms and distances in Å follow each position.
Space group R-3m (No. 166, hexagonal axes)
Unique sites:
Pm 0.0000 0.5000 0.0000 x9  6 S 2.84
Dy 0.0000 0.0000 0.5000 x3  6 S 2.80
Dy 0.0000 0.5000 0.5000 x9  6 S 2.75
Ho 0.0000 0.0000 0.0000 x3  6 S 2.79
S 0.0000 0.0000 0.2457 x6  3 Dy 2.75, 3 Pm 2.84
S 0.0065 0.5033 0.7526 x18  3 Dy 2.75-2.80, 1 Ho 2.79, 2 Pm 2.84

***

Record 8
Compound: Pm2DyHo3S6
Source: the Alexandria database
Functional: PBE
Structure: relaxed

electronic total energy: -6.382 eV/atom
crystal system: monoclinic
total magnetization: 0.00 μB per atom
raw formation energy: -2.00 eV/atom

Unit cell a=17.1736 b=3.9184 c=7.9284 alpha=90.00 beta=103.80 gamma=90.00
Closest atoms and distances in Å follow each position.
Space group C2/m (No. 12)
Unique sites:
Pm 0.1675 0.0000 0.3350 x4  6 S 2.83-2.85
Dy 0.0000 0.5000 0.0000 x2  6 S 2.77-2.79
Ho 0.0000 0.5000 0.5000 x2  6 S 2.72-2.78
Ho 0.1683 0.0000 0.8330 x4  6 S 2.73-2.76
S 0.0035 0.0000 0.7506 x4  3 Ho 2.75-2.78, 2 Dy 2.79, 1 Pm 2.85
S 0.1631 0.5000 0.5913 x4  3 Ho 2.72-2.73, 3 Pm 2.83-2.84
S 0.1663 0.5000 0.0735 x4  3 Ho 2.74-2.76, 1 Dy 2.77, 2 Pm 2.85

***

Record 9
Compound: Pm2DyHo3Sb6
Source: the Alexandria database
Functional: PBE
Structure: relaxed

electronic total energy: -5.519 eV/atom
crystal system: monoclinic
total magnetization: 0.00 μB per atom
raw formation energy: -1.14 eV/atom

Unit cell a=19.2276 b=4.4140 c=8.8222 alpha=90.00 beta=103.20 gamma=90.00
Closest atoms and distances in Å follow each position.
Space group C2/m (No. 12)
Unique sites:
Pm 0.1660 0.0000 0.3325 x4  6 Sb 3.15-3.16
Dy 0.0000 0.5000 0.0000 x2  6 Sb 3.12
Ho 0.0000 0.5000 0.5000 x2  6 Sb 3.09-3.12
Ho 0.1675 0.0000 0.8336 x4  6 Sb 3.08-3.11
Sb 0.0024 0.0000 0.7506 x4  3 Ho 3.09-3.12, 2 Dy 3.12, 1 Pm 3.15
Sb 0.1650 0.5000 0.5878 x4  3 Ho 3.09, 3 Pm 3.16
Sb 0.1665 0.5000 0.0774 x4  3 Ho 3.08-3.11, 1 Dy 3.12, 2 Pm 3.15

***

Record 10
Compound: Pm2DyHoSb4
Source: the Alexandria database
Functional: PBE
Structure: relaxed

electronic total energy: -5.549 eV/atom
crystal system: monoclinic
total magnetization: 0.00 μB per atom
raw formation energy: -1.15 eV/atom

Unit cell a=7.6771 b=4.4381 c=7.6823 alpha=90.00 beta=109.49 gamma=90.00
Closest atoms and distances in Å follow each position.
Space group P2/m (No. 10)
Unique sites:
Pm 0.0000 0.0000 0.0000 x1  6 Sb 3.17
Pm 0.0000 0.5000 0.5000 x1  6 Sb 3.17
Dy 0.5000 0.0000 0.5000 x1  6 Sb 3.11
Ho 0.5000 0.5000 0.0000 x1  6 Sb 3.10
Sb 0.2575 0.5000 0.2520 x2  1 Ho 3.10, 2 Dy 3.11, 3 Pm 3.17
Sb 0.2578 0.0000 0.7531 x2  2 Ho 3.10, 1 Dy 3.11, 3 Pm 3.17

***

Record 11
Compound: PmDy2HoSb4
Source: the Alexandria database
Functional: PBE
Structure: relaxed

electronic total energy: -5.516 eV/atom
crystal system: monoclinic
total magnetization: 0.00 μB per atom
raw formation energy: -1.14 eV/atom

Unit cell a=7.6338 b=4.4109 c=7.6348 alpha=90.00 beta=109.48 gamma=90.00
Closest atoms and distances in Å follow each position.
Space group P2/m (No. 10)
Unique sites:
Pm 0.0000 0.0000 0.0000 x1  6 Sb 3.15
Dy 0.0000 0.5000 0.5000 x1  6 Sb 3.12
Dy 0.5000 0.0000 0.5000 x1  6 Sb 3.09
Ho 0.5000 0.5000 0.0000 x1  6 Sb 3.11
Sb 0.2531 0.0000 0.7484 x2  3 Dy 3.09-3.12, 2 Ho 3.11, 1 Pm 3.15
Sb 0.2551 0.5000 0.2543 x2  3 Dy 3.09-3.12, 1 Ho 3.11, 2 Pm 3.15

***

Record 12
Compound: Pm6DyHoSc2
Source: the Alexandria database
Functional: PBE
Structure: relaxed

electronic total energy: -4.910 eV/atom
crystal system: monoclinic
total magnetization: 0.00 μB per atom

Unit cell a=9.0657 b=14.9943 c=9.5137 alpha=90.00 beta=98.04 gamma=90.00
Closest atoms and distances in Å follow each position.
Space group C2/c (No. 15)
Unique sites:
Pm 0.0635 0.1745 0.4473 x8  7 Pm 3.39-3.77, 1 Sc 3.39, 2 Dy 3.58-3.72
Pm 0.0977 0.3964 0.6181 x8  3 Sc 3.22-3.39, 3 Pm 3.27-3.39, 2 Ho 3.35-3.50
Pm 0.2142 0.2260 0.8169 x8  3 Pm 3.27-3.56, 1 Ho 3.41, 2 Sc 3.43-3.61, 1 Dy 3.55
Dy 0.0000 0.0288 0.7500 x4  4 Sc 3.36-3.38, 6 Pm 3.55-3.72
Ho 0.0000 0.4084 0.2500 x4  6 Pm 3.35-3.50, 2 Sc 3.49
Sc 0.2475 0.0492 0.0483 x8  5 Pm 3.22-3.43, 2 Dy 3.36-3.38, 1 Ho 3.49

***

Look up the electronic total energy of the fifth one. -6.417 eV/atom